# CaY2Re | Alexandria | PBE | optimized geometry
# DFT formation energy in eV per formula unit: 4.4
# Energy relative to the lowest polymorph listed for this composition in eV/f.u.: 3.87
data_CaY2Re
_chemical_formula_sum 'Ca4 Y8 Re4'
_cell_length_a 8.1704
_cell_length_b 8.1704
_cell_length_c 11.4244
_cell_angle_alpha 90.00
_cell_angle_beta 90.00
_cell_angle_gamma 90.00
_space_group_name_H-M_alt 'I 41/a m d'
_space_group_IT_number 141
loop_
_space_group_symop_operation_xyz
'x,y,z'
'-x,-y,-z'
'-y+1/4,x+3/4,z+1/4'
'y+1/4,-x+3/4,-z+1/4'
'-x+1/2,-y,z+1/2'
'x+1/2,y,-z+1/2'
'y+1/4,-x+1/4,z+3/4'
'-y+1/4,x+1/4,-z+3/4'
'x,-y,-z'
'-x,y,z'
'-y+1/4,-x+1/4,-z+3/4'
'y+1/4,x+1/4,z+3/4'
'-x+1/2,y,-z+1/2'
'x+1/2,-y,z+1/2'
'y+1/4,x+3/4,-z+1/4'
'-y+1/4,-x+3/4,z+1/4'
'x+1/2,y+1/2,z+1/2'
'-x+1/2,-y+1/2,-z+1/2'
'-y+3/4,x+1/4,z+3/4'
'y+3/4,-x+1/4,-z+3/4'
'-x,-y+1/2,z'
'x,y+1/2,-z'
'y+3/4,-x+3/4,z+1/4'
'-y+3/4,x+3/4,-z+1/4'
'x+1/2,-y+1/2,-z+1/2'
'-x+1/2,y+1/2,z+1/2'
'-y+3/4,-x+3/4,-z+1/4'
'y+3/4,x+3/4,z+1/4'
'-x,y+1/2,-z'
'x,-y+1/2,z'
'y+3/4,x+1/4,-z+3/4'
'-y+3/4,-x+1/4,z+3/4'
loop_
_atom_site_label
_atom_site_fract_x
_atom_site_fract_y
_atom_site_fract_z
_atom_site_occupancy
Ca1 0.0000 0.2500 0.3750 1
Y1 0.0000 0.0000 0.0000 1
Re1 0.0000 0.2500 0.8750 1